(1)
This record from Alexandria via LeMat-Bulk describes GdPS4 at its PBEsol-relaxed geometry. The functional is SCAN.

Output
energy relative to the elements, uncorrected = -1205 meV per atom
spin magnetization = 6.97 μB/f.u.
ρ = 3.94 g/cm3
density of states at the Fermi level = 0.0 states/eV per cell

Unit cell a=10.6438 b=10.6438 c=18.8573 alpha=90.00 beta=90.00 gamma=90.00
Space group I4_1/acd (No. 142, origin choice 2)
One atom of each set of equivalent atoms:
Gd 0.0000 0.2500 0.1250
Gd 0.0000 0.2500 0.3750
P 0.0382 0.0000 0.2500
S 0.0682 0.0030 0.8398
S 0.0871 0.1105 0.0026


(2)
This record from Alexandria via LeMat-Bulk describes K2InSbBr6 at its PBEsol-relaxed geometry. The functional is SCAN.

Output
energy relative to the elements, uncorrected = -1114 meV per atom
spin magnetization = 0.00 μB/f.u.
ρ = 3.54 g/cm3
density of states at the Fermi level = 0.3 states/eV per cell

Unit cell a=11.4257 b=11.4257 c=11.4257 alpha=90.00 beta=90.00 gamma=90.00
Space group Fm-3m (No. 225)
One atom of each set of equivalent atoms:
K 0.2500 0.2500 0.2500
In 0.0000 0.0000 0.0000
Sb 0.0000 0.0000 0.5000
Br 0.0000 0.0000 0.2559